LiBeNi | PBE | optimized geometry

CIF file:
```
data_LiBeNi
_chemical_formula_sum 'Li4 Be4 Ni4'
_space_group_name_H-M_alt 'C m c m'
_space_group_IT_number 63
_space_group_name_Hall '-C 2c 2'
_cell_length_a 2.575
_cell_length_b 12.776
_cell_length_c 3.726
_cell_angle_alpha 90.00
_cell_angle_beta 90.00
_cell_angle_gamma 90.00
loop_
_atom_site_label
_atom_site_fract_x
_atom_site_fract_y
_atom_site_fract_z
Li1 0.000 0.219 0.250
Be1 0.000 0.444 0.750
Ni1 0.000 0.085 0.750
```

Values from the calculation:
Energy above the most stable polymorph in this dataset in meV per atom: 0
Energy of formation from the pure elements in eV per atom: -0.19
Total magnetization in μB per formula unit: 0.00
Electronic total energy in eV/cell: -48.01